# 1
Material: Ba2Y2Al
Method: DFT, GGA-PBE
State: relaxed

abc: 11.2608 11.2608 11.2608
angles: 157.22 157.22 32.44
With the nearest neighbours (Å) after each atom.
Sites, in units of the cell vectors:
Ba 0.0882 0.0882 0.0000  4 Al 3.68, 1 Ba 3.82
Ba 0.9118 0.9118 0.0000  4 Al 3.68, 1 Ba 3.82
Y 0.2500 0.7500 0.5000  4 Y 3.15
Y 0.7500 0.2500 0.5000  4 Y 3.15
Al 0.5000 0.5000 0.0000  8 Ba 3.68

Calculated values
* SG: I4/mmm, No. 139

***

# 2
Material: BaYAl
Method: DFT, GGA-PBE
State: relaxed

abc: 7.4408 7.4408 7.4408
angles: 149.80 149.80 43.24
With the nearest neighbours (Å) after each atom.
Sites, in units of the cell vectors:
Ba 0.0000 0.0000 0.0000  4 Al 3.63, 1 Y 3.75, 4 Ba 3.88
Y 0.2714 0.2714 0.0000  4 Al 3.07
Al 0.6716 0.6716 0.0000  4 Y 3.07

Calculated values
* SG: I4mm, No. 107

***

# 3
Material: BaYAl
Method: DFT, GGA-PBE
State: relaxed

abc: 12.3909 12.3909 4.2158
angles: 90.00 90.00 159.68
With the nearest neighbours (Å) after each atom.
Sites, in units of the cell vectors:
Ba 0.1789 0.8211 0.7500  1 Al 3.53
Ba 0.8211 0.1789 0.2500  1 Al 3.53
Y 0.4380 0.5620 0.7500  6 Al 3.11-3.21
Y 0.5620 0.4380 0.2500  6 Al 3.11-3.21
Al 0.0342 0.9658 0.7500  2 Al 2.69
Al 0.9658 0.0342 0.2500  2 Al 2.69

Calculated values
* SG: Cmcm, No. 63

***

# 4
Material: Ba2Y2Al
Method: DFT, GGA-PBE
State: relaxed

abc: 9.9504 9.9504 9.9504
angles: 153.97 153.97 37.14
With the nearest neighbours (Å) after each atom.
Sites, in units of the cell vectors:
Ba 0.2500 0.7500 0.5000  4 Ba 3.17
Ba 0.7500 0.2500 0.5000  4 Ba 3.17
Y 0.0784 0.0784 0.0000  1 Y 2.96
Y 0.9216 0.9216 0.0000  1 Y 2.96
Al 0.5000 0.5000 0.0000  8 Y 3.50

Calculated values
* SG: I4/mmm, No. 139

***

no.,excess energy over the best structure of this formula in the dataset (eV per atom),E_form (eV/f.u.)
1,0.166,1.77
2,0.122,-0.19
3,0.000,-0.56
4,0.467,3.28